Arrangement P

Here is a relaxed structure of SmHo2I from Alexandria via LeMat-Bulk. Energies are from PBE.

Calculated values
Crystal system: trigonal
DOS at the Fermi energy, states/eV/cell: 17.717

Geometry as CIF:
```
data_SmHo2I
_symmetry_space_group_name_H-M 'R 3 m'
_symmetry_Int_Tables_number 160
_symmetry_space_group_name_Hall 'R 3 -2"'
_cell_length_a 3.7617
_cell_length_b 3.7617
_cell_length_c 31.4339
_cell_angle_alpha 90.00
_cell_angle_beta 90.00
_cell_angle_gamma 120.00
loop_
_atom_site_label
_atom_site_type_symbol
_atom_site_fract_x
_atom_site_fract_y
_atom_site_fract_z
_atom_site_occupancy
Sm1 Sm 0.0000 0.0000 0.0000 1
Ho1 Ho 0.0000 0.0000 0.5784 1
Ho2 Ho 0.0000 0.0000 0.7556 1
I1 I 0.0000 0.0000 0.1668 1
```


Arrangement Q

Here is a relaxed structure of SmHo2I from Alexandria via LeMat-Bulk. Energies are from PBE.

Calculated values
Crystal system: trigonal
DOS at the Fermi energy, states/eV/cell: 10.143

Geometry as CIF:
```
data_SmHo2I
_symmetry_space_group_name_H-M 'R -3 m'
_symmetry_Int_Tables_number 166
_symmetry_space_group_name_Hall '-R 3 2"'
_cell_length_a 3.7332
_cell_length_b 3.7332
_cell_length_c 31.4361
_cell_angle_alpha 90.00
_cell_angle_beta 90.00
_cell_angle_gamma 120.00
loop_
_atom_site_label
_atom_site_type_symbol
_atom_site_fract_x
_atom_site_fract_y
_atom_site_fract_z
_atom_site_occupancy
Sm1 Sm 0.0000 0.0000 0.0000 1
Ho1 Ho 0.0000 0.0000 0.2452 1
I1 I 0.0000 0.0000 0.5000 1
```


Question: which arrangement is favored energetically? Ranking from most to least stable: arrangement Q, arrangement P.


Arrangement P

Here is a relaxed structure of TbHo2I from Alexandria via LeMat-Bulk. Energies are from PBE.

Calculated values
Crystal system: trigonal
DOS at the Fermi energy, states/eV/cell: 13.515

Geometry as CIF:
```
data_TbHo2I
_symmetry_space_group_name_H-M 'R -3 m'
_symmetry_Int_Tables_number 166
_symmetry_space_group_name_Hall '-R 3 2"'
_cell_length_a 3.7227
_cell_length_b 3.7227
_cell_length_c 31.2748
_cell_angle_alpha 90.00
_cell_angle_beta 90.00
_cell_angle_gamma 120.00
loop_
_atom_site_label
_atom_site_type_symbol
_atom_site_fract_x
_atom_site_fract_y
_atom_site_fract_z
_atom_site_occupancy
Tb1 Tb 0.0000 0.0000 0.0000 1
Ho1 Ho 0.0000 0.0000 0.2457 1
I1 I 0.0000 0.0000 0.5000 1
```


Arrangement Q

Here is a relaxed structure of TbHo2I from Alexandria via LeMat-Bulk. Energies are from PBE.

Calculated values
Crystal system: trigonal
DOS at the Fermi energy, states/eV/cell: 17.996

Geometry as CIF:
```
data_TbHo2I
_symmetry_space_group_name_H-M 'R 3 m'
_symmetry_Int_Tables_number 160
_symmetry_space_group_name_Hall 'R 3 -2"'
_cell_length_a 3.7513
_cell_length_b 3.7513
_cell_length_c 31.1684
_cell_angle_alpha 90.00
_cell_angle_beta 90.00
_cell_angle_gamma 120.00
loop_
_atom_site_label
_atom_site_type_symbol
_atom_site_fract_x
_atom_site_fract_y
_atom_site_fract_z
_atom_site_occupancy
Tb1 Tb 0.0000 0.0000 0.0000 1
Ho1 Ho 0.0000 0.0000 0.2452 1
Ho2 Ho 0.0000 0.0000 0.4206 1
I1 I 0.0000 0.0000 0.8331 1
```


Question: which arrangement is favored energetically? Ranking from most to least stable: arrangement P, arrangement Q.


Arrangement P

Here is a relaxed structure of TbHoI from Alexandria via LeMat-Bulk. Energies are from PBE.

Calculated values
Crystal system: trigonal
DOS at the Fermi energy, states/eV/cell: 3.858

Geometry as CIF:
```
data_TbHoI
_symmetry_space_group_name_H-M 'P 3 m 1'
_symmetry_Int_Tables_number 156
_symmetry_space_group_name_Hall 'P 3 -2"'
_cell_length_a 3.8226
_cell_length_b 3.8226
_cell_length_c 7.5422
_cell_angle_alpha 90.00
_cell_angle_beta 90.00
_cell_angle_gamma 120.00
loop_
_atom_site_label
_atom_site_type_symbol
_atom_site_fract_x
_atom_site_fract_y
_atom_site_fract_z
_atom_site_occupancy
Tb1 Tb 0.0000 0.0000 0.0000 1
Ho1 Ho 0.6667 0.3333 0.3480 1
I1 I 0.3333 0.6667 0.6727 1
```


Arrangement Q

Here is a relaxed structure of TbHoI from Alexandria via LeMat-Bulk. Energies are from PBE.

Calculated values
Crystal system: tetragonal
DOS at the Fermi energy, states/eV/cell: 7.252

Geometry as CIF:
```
data_TbHoI
_symmetry_space_group_name_H-M 'I 4 m m'
_symmetry_Int_Tables_number 107
_symmetry_space_group_name_Hall 'I 4 -2'
_cell_length_a 3.6775
_cell_length_b 3.6775
_cell_length_c 13.8636
_cell_angle_alpha 90.00
_cell_angle_beta 90.00
_cell_angle_gamma 90.00
loop_
_atom_site_label
_atom_site_type_symbol
_atom_site_fract_x
_atom_site_fract_y
_atom_site_fract_z
_atom_site_occupancy
Tb1 Tb 0.0000 0.0000 0.0000 1
Ho1 Ho 0.0000 0.0000 0.6681 1
I1 I 0.0000 0.0000 0.3331 1
```


Question: which arrangement is favored energetically? Ranking from most to least stable: arrangement P, arrangement Q.


Arrangement P

Here is a relaxed structure of Tb2HoI from Alexandria via LeMat-Bulk. Energies are from PBE.

Calculated values
Crystal system: trigonal
DOS at the Fermi energy, states/eV/cell: 13.889

Geometry as CIF:
```
data_Tb2HoI
_symmetry_space_group_name_H-M 'R -3 m'
_symmetry_Int_Tables_number 166
_symmetry_space_group_name_Hall '-R 3 2"'
_cell_length_a 3.7342
_cell_length_b 3.7342
_cell_length_c 31.4723
_cell_angle_alpha 90.00
_cell_angle_beta 90.00
_cell_angle_gamma 120.00
loop_
_atom_site_label
_atom_site_type_symbol
_atom_site_fract_x
_atom_site_fract_y
_atom_site_fract_z
_atom_site_occupancy
Tb1 Tb 0.0000 0.0000 0.2458 1
Ho1 Ho 0.0000 0.0000 0.0000 1
I1 I 0.0000 0.0000 0.5000 1
```


Arrangement Q

Here is a relaxed structure of Tb2HoI from Alexandria via LeMat-Bulk. Energies are from PBE.

Calculated values
Crystal system: tetragonal
DOS at the Fermi energy, states/eV/cell: 4.362

Geometry as CIF:
```
data_Tb2HoI
_symmetry_space_group_name_H-M 'P 4/m m m'
_symmetry_Int_Tables_number 123
_symmetry_space_group_name_Hall '-P 4 2'
_cell_length_a 3.6357
_cell_length_b 3.6357
_cell_length_c 9.4992
_cell_angle_alpha 90.00
_cell_angle_beta 90.00
_cell_angle_gamma 90.00
loop_
_atom_site_label
_atom_site_type_symbol
_atom_site_fract_x
_atom_site_fract_y
_atom_site_fract_z
_atom_site_occupancy
Tb1 Tb 0.0000 0.0000 0.2448 1
Ho1 Ho 0.5000 0.5000 0.5000 1
I1 I 0.5000 0.5000 0.0000 1
```


Question: which arrangement is favored energetically? Ranking from most to least stable: arrangement P, arrangement Q.


Arrangement P

Here is a relaxed structure of HoTlI from Alexandria via LeMat-Bulk. Energies are from PBE.

Calculated values
Crystal system: triclinic
DOS at the Fermi energy, states/eV/cell: 1.874

Geometry as CIF:
```
data_HoTlI
_symmetry_space_group_name_H-M 'P -1'
_symmetry_Int_Tables_number 2
_symmetry_space_group_name_Hall '-P 1'
_cell_length_a 3.8888
_cell_length_b 4.7245
_cell_length_c 12.5070
_cell_angle_alpha 90.21
_cell_angle_beta 90.34
_cell_angle_gamma 90.00
loop_
_atom_site_label
_atom_site_type_symbol
_atom_site_fract_x
_atom_site_fract_y
_atom_site_fract_z
_atom_site_occupancy
Ho1 Ho 0.0033 0.2516 0.1601 1
Tl1 Tl 0.4985 0.2492 0.9201 1
I1 I 0.4932 0.7465 0.6559 1
```


Arrangement Q

Here is a relaxed structure of HoTlI from Alexandria via LeMat-Bulk. Energies are from PBE.

Calculated values
Crystal system: monoclinic
DOS at the Fermi energy, states/eV/cell: 10.771

Geometry as CIF:
```
data_HoTlI
_symmetry_space_group_name_H-M 'C 1 2/m 1'
_symmetry_Int_Tables_number 12
_symmetry_space_group_name_Hall '-C 2y'
_cell_length_a 26.1922
_cell_length_b 4.3182
_cell_length_c 7.5156
_cell_angle_alpha 90.00
_cell_angle_beta 97.07
_cell_angle_gamma 90.00
loop_
_atom_site_label
_atom_site_type_symbol
_atom_site_fract_x
_atom_site_fract_y
_atom_site_fract_z
_atom_site_occupancy
Ho1 Ho 0.1350 0.0000 0.1335 1
Ho2 Ho 0.1654 0.0000 0.6529 1
Tl1 Tl 0.2045 0.5000 0.9902 1
Tl2 Tl 0.2409 0.0000 0.3538 1
I1 I 0.0592 0.0000 0.8055 1
I2 I 0.0944 0.5000 0.3866 1
```


Question: which arrangement is favored energetically? Ranking from most to least stable: arrangement P, arrangement Q.


Arrangement P

Here is a relaxed structure of Y2HoI from Alexandria via LeMat-Bulk. Energies are from PBE.

Calculated values
Crystal system: tetragonal
DOS at the Fermi energy, states/eV/cell: 4.969

Geometry as CIF:
```
data_Y2HoI
_symmetry_space_group_name_H-M 'P 4/m m m'
_symmetry_Int_Tables_number 123
_symmetry_space_group_name_Hall '-P 4 2'
_cell_length_a 3.6438
_cell_length_b 3.6438
_cell_length_c 9.4902
_cell_angle_alpha 90.00
_cell_angle_beta 90.00
_cell_angle_gamma 90.00
loop_
_atom_site_label
_atom_site_type_symbol
_atom_site_fract_x
_atom_site_fract_y
_atom_site_fract_z
_atom_site_occupancy
Y1 Y 0.0000 0.0000 0.2455 1
Ho1 Ho 0.5000 0.5000 0.5000 1
I1 I 0.5000 0.5000 0.0000 1
```


Arrangement Q

Here is a relaxed structure of Y2HoI from Alexandria via LeMat-Bulk. Energies are from PBE.

Calculated values
Crystal system: trigonal
DOS at the Fermi energy, states/eV/cell: 15.357

Geometry as CIF:
```
data_Y2HoI
_symmetry_space_group_name_H-M 'R -3 m'
_symmetry_Int_Tables_number 166
_symmetry_space_group_name_Hall '-R 3 2"'
_cell_length_a 3.7458
_cell_length_b 3.7458
_cell_length_c 31.3599
_cell_angle_alpha 90.00
_cell_angle_beta 90.00
_cell_angle_gamma 120.00
loop_
_atom_site_label
_atom_site_type_symbol
_atom_site_fract_x
_atom_site_fract_y
_atom_site_fract_z
_atom_site_occupancy
Y1 Y 0.0000 0.0000 0.2456 1
Ho1 Ho 0.0000 0.0000 0.0000 1
I1 I 0.0000 0.0000 0.5000 1
```


Arrangement R

Here is a relaxed structure of Y2HoI from Alexandria via LeMat-Bulk. Energies are from PBE.

Calculated values
Crystal system: trigonal
DOS at the Fermi energy, states/eV/cell: 18.618

Geometry as CIF:
```
data_Y2HoI
_symmetry_space_group_name_H-M 'R 3 m'
_symmetry_Int_Tables_number 160
_symmetry_space_group_name_Hall 'R 3 -2"'
_cell_length_a 3.7730
_cell_length_b 3.7730
_cell_length_c 31.1059
_cell_angle_alpha 90.00
_cell_angle_beta 90.00
_cell_angle_gamma 120.00
loop_
_atom_site_label
_atom_site_type_symbol
_atom_site_fract_x
_atom_site_fract_y
_atom_site_fract_z
_atom_site_occupancy
Y1 Y 0.0000 0.0000 0.0000 1
Y2 Y 0.0000 0.0000 0.1746 1
Ho1 Ho 0.0000 0.0000 0.7544 1
I1 I 0.0000 0.0000 0.5874 1
```


Question: which arrangement is favored energetically? Ranking from most to least stable: arrangement R, arrangement Q, arrangement P.


Arrangement P

Here is a relaxed structure of Ho3In from Alexandria via LeMat-Bulk. Energies are from PBE.

Calculated values
Crystal system: tetragonal
DOS at the Fermi energy, states/eV/cell: 10.469

Geometry as CIF:
```
data_Ho3In
_symmetry_space_group_name_H-M 'I 4/m m m'
_symmetry_Int_Tables_number 139
_symmetry_space_group_name_Hall '-I 4 2'
_cell_length_a 4.7252
_cell_length_b 4.7252
_cell_length_c 10.0487
_cell_angle_alpha 90.00
_cell_angle_beta 90.00
_cell_angle_gamma 90.00
loop_
_atom_site_label
_atom_site_type_symbol
_atom_site_fract_x
_atom_site_fract_y
_atom_site_fract_z
_atom_site_occupancy
Ho1 Ho 0.0000 0.0000 0.0000 1
Ho2 Ho 0.0000 0.5000 0.2500 1
In1 In 0.0000 0.0000 0.5000 1
```


Arrangement Q

Here is a relaxed structure of Ho3In from Alexandria via LeMat-Bulk. Energies are from PBE.

Calculated values
Crystal system: hexagonal
DOS at the Fermi energy, states/eV/cell: 11.018

Geometry as CIF:
```
data_Ho3In
_symmetry_space_group_name_H-M 'P 63/m m c'
_symmetry_Int_Tables_number 194
_symmetry_space_group_name_Hall '-P 6c 2c'
_cell_length_a 6.8772
_cell_length_b 6.8772
_cell_length_c 5.4806
_cell_angle_alpha 90.00
_cell_angle_beta 90.00
_cell_angle_gamma 120.00
loop_
_atom_site_label
_atom_site_type_symbol
_atom_site_fract_x
_atom_site_fract_y
_atom_site_fract_z
_atom_site_occupancy
Ho1 Ho 0.1715 0.3429 0.2500 1
In1 In 0.3333 0.6667 0.7500 1
```


Arrangement R

Here is a relaxed structure of Ho3In from Alexandria via LeMat-Bulk. Energies are from PBE.

Calculated values
Crystal system: orthorhombic
DOS at the Fermi energy, states/eV/cell: 4.917

Geometry as CIF:
```
data_Ho3In
_symmetry_space_group_name_H-M 'P m m 2'
_symmetry_Int_Tables_number 25
_symmetry_space_group_name_Hall 'P 2 -2'
_cell_length_a 3.4725
_cell_length_b 5.4670
_cell_length_c 6.0442
_cell_angle_alpha 90.00
_cell_angle_beta 90.00
_cell_angle_gamma 90.00
loop_
_atom_site_label
_atom_site_type_symbol
_atom_site_fract_x
_atom_site_fract_y
_atom_site_fract_z
_atom_site_occupancy
Ho1 Ho 0.0000 0.0000 0.0000 1
Ho2 Ho 0.0000 0.5000 0.3386 1
Ho3 Ho 0.5000 0.0000 0.5080 1
In1 In 0.5000 0.5000 0.8218 1
```


Question: which arrangement is favored energetically? Ranking from most to least stable: arrangement Q, arrangement P, arrangement R.